## CaCe3Nd2Se6 (GGA-PBE)

Data for CaCe3Nd2Se6 after structural relaxation.

Results
- Electronic total energy: -6.0330 eV/atom
- Raw formation energy: -1.8458 eV per atom

extended XYZ file:
```
12
Lattice="9.211 -2.099 0.000 9.211 2.099 0.000 -2.003 0.000 8.236" Properties=species:S:1:pos:R:3 pbc="T T T"
Ca 0.000 0.000 0.000
Ce -1.002 0.000 4.118
Ce 5.778 0.000 1.381
Ce 10.641 0.000 6.856
Nd 4.772 0.000 5.455
Nd 11.648 0.000 2.781
Se 2.859 0.000 0.669
Se 1.871 0.000 4.813
Se 8.720 0.000 2.018
Se 7.699 0.000 6.218
Se 14.548 0.000 3.424
Se 13.560 0.000 7.567
```